Record 1
FeHgAu2 | the Alexandria database | GGA-PBE | relaxed; DOS(E_F) = 0.73 states/eV per atom; DFT formation energy = 246 meV per atom; total DFT energy (no corrections) = -14.3 eV for the cell shown; symmetry = No. 139
1.0
4.930 -0.042 0.000
1.283 4.760 0.000
-3.107 -2.359 3.015
Hg Fe Au
1 1 2
direct
0.750 0.250 0.500
0.250 0.750 0.500
0.500 0.500 0.000
0.000 0.000 0.000

---

Record 2
BaTlIO | the Alexandria database | GGA-PBE | relaxed; uncorrected formation energy = -1.482 eV per atom; total DFT energy (no corrections) = -16.7 eV for the cell shown; symmetry = No. 156
1.0
-2.767 -2.270 2.530
0.698 -4.265 0.732
4.601 1.915 6.750
I Ba O Tl
1 1 1 1
direct
0.688 0.650 0.429
0.021 0.983 0.122
0.355 0.316 0.015
0.355 0.316 0.732

---

Record 3
Tm5Ga4Au | the Alexandria database | GGA-PBE | relaxed; DOS(E_F) = 0.57 states/eV per atom; DFT formation energy = -628 meV per atom; total DFT energy (no corrections) = -44.0 eV for the cell shown; symmetry = No. 123
1.0
3.523 0.000 0.000
0.000 3.523 0.000
0.000 0.000 17.776
Tm Ga Au
5 4 1
direct
0.500 0.500 0.500
0.500 0.500 0.900
0.500 0.500 0.301
0.500 0.500 0.699
0.500 0.500 0.100
0.000 0.000 0.202
0.000 0.000 0.402
0.000 0.000 0.598
0.000 0.000 0.798
0.000 0.000 0.000

---

Record 4
Pr2Ga3Ag2 | the Alexandria database | GGA-PBE | relaxed; DOS(E_F) = 0.80 states/eV per atom; excess energy over the best structure of this formula in the dataset = 0 meV per atom; DFT formation energy = -476 meV per atom; total DFT energy (no corrections) = -55.3 eV for the cell shown; symmetry = No. 63
1.0
0.403 -0.449 -4.345
5.974 -4.345 1.003
-5.894 -7.539 2.446
Ga Ag Pr
6 4 4
direct
0.443 0.578 0.887
0.773 0.250 0.546
0.557 0.078 0.113
0.227 0.750 0.454
0.557 0.422 0.113
0.443 0.922 0.887
0.686 0.943 0.373
0.314 0.057 0.627
0.686 0.557 0.373
0.314 0.443 0.627
0.845 0.750 0.689
0.942 0.250 0.884
0.155 0.250 0.311
0.058 0.750 0.116

---

Record 5
Ti3InGa | the Alexandria database | GGA-PBE | relaxed; DOS(E_F) = 1.36 states/eV per atom; excess energy over the best structure of this formula in the dataset = 0 meV per atom; DFT formation energy = -150 meV per atom; total DFT energy (no corrections) = -120.8 eV for the cell shown; symmetry = No. 15
1.0
0.517 0.575 5.350
7.873 -2.413 0.912
3.086 7.683 0.288
Ti Ga In
12 4 4
direct
0.882 0.990 0.375
0.118 0.010 0.625
0.382 0.375 0.990
0.035 0.593 0.187
0.601 0.871 0.745
0.535 0.187 0.593
0.618 0.625 0.010
0.399 0.129 0.255
0.965 0.407 0.813
0.465 0.813 0.407
0.101 0.745 0.871
0.899 0.255 0.129
0.250 0.874 0.126
0.750 0.126 0.874
0.250 0.109 0.891
0.750 0.891 0.109
0.510 0.462 0.322
0.010 0.322 0.462
0.990 0.678 0.538
0.490 0.538 0.678

---

Record 6
AcCd2Hg6 | the Alexandria database | GGA-PBE | relaxed; DOS(E_F) = 0.54 states/eV per atom; excess energy over the best structure of this formula in the dataset = 0 meV per atom; DFT formation energy = -180 meV per atom; total DFT energy (no corrections) = -9.4 eV for the cell shown; symmetry = No. 164
1.0
-1.007 3.616 -3.671
-1.333 -5.012 -0.817
-8.921 1.706 4.127
Hg Ac Cd
6 1 2
direct
0.667 0.334 0.971
0.333 0.666 0.029
0.333 0.666 0.348
0.667 0.334 0.652
0.000 0.001 0.841
0.000 0.999 0.159
0.000 0.000 0.500
0.334 0.667 0.709
0.666 0.333 0.291

---

Record 7
TaPtIN2 | the Alexandria database | GGA-PBE | relaxed; DOS(E_F) = 1.15 states/eV per atom; uncorrected formation energy = 1.833 eV per atom; excess energy over the best structure of this formula in the dataset = 1253 meV per atom; total DFT energy (no corrections) = -26.9 eV for the cell shown; symmetry = No. 123
1.0
3.855 0.000 0.000
0.000 3.855 0.000
0.000 0.000 7.650
N Ta Pt I
2 1 1 1
direct
0.000 0.500 0.000
0.500 0.000 0.000
0.500 0.500 0.500
0.000 0.000 0.000
0.000 0.000 0.500

---

Record 8
HPb2SO6 | the Alexandria database | GGA-PBE | relaxed; total DFT energy (no corrections) = -54.2 eV for the cell shown; symmetry = No. 8
1.0
-1.931 -4.390 3.165
5.175 0.064 2.489
-3.095 4.950 0.045
O Pb S H
6 2 1 1
direct
0.224 0.224 0.429
0.732 0.732 0.380
0.175 0.176 0.947
0.219 0.825 0.020
0.825 0.220 0.020
0.792 0.792 0.925
0.727 0.182 0.522
0.181 0.728 0.522
0.045 0.046 0.067
0.579 0.579 0.166

---

Record 9
SrLi2Ga2 | the Alexandria database | GGA-PBE | relaxed; DOS(E_F) = 0.67 states/eV per atom; excess energy over the best structure of this formula in the dataset = 118 meV per atom; DFT formation energy = -194 meV per atom; total DFT energy (no corrections) = -25.1 eV for the cell shown; symmetry = No. 127
1.0
-3.192 7.459 -1.029
0.253 -1.011 -8.111
-2.908 -1.236 0.063
Ga Li Sr
4 4 2
direct
0.827 0.327 0.500
0.327 0.173 0.500
0.173 0.673 0.500
0.673 0.827 0.500
0.119 0.381 0.000
0.381 0.881 0.000
0.881 0.619 0.000
0.619 0.119 0.000
0.500 0.500 0.000
0.000 0.000 0.000

---

Record 10
WI6 | the Alexandria database | GGA-PBE | relaxed; DOS(E_F) = 0.13 states/eV per atom; uncorrected formation energy = -0.030 eV per atom; total DFT energy (no corrections) = -22.5 eV for the cell shown; symmetry = No. 162
1.0
6.340 0.000 0.000
0.000 6.218 -3.590
0.000 0.000 7.180
I W
6 1
direct
0.753 0.692 0.692
0.247 0.000 0.692
0.753 0.000 0.308
0.753 0.308 0.000
0.247 0.308 0.308
0.247 0.692 0.000
0.000 0.000 0.000

---

Record 11
CaCu2GePd4 | the Alexandria database | GGA-PBE | relaxed; DOS(E_F) = 0.45 states/eV per atom; DFT formation energy = -380 meV per atom; total DFT energy (no corrections) = -38.6 eV for the cell shown; symmetry = No. 166
1.0
4.427 0.000 0.000
2.213 3.834 0.000
2.213 1.278 7.530
Cu Ge Ca Pd
2 1 1 4
direct
0.254 0.254 0.238
0.746 0.746 0.762
0.500 0.500 0.500
0.000 0.000 0.000
0.393 0.393 0.822
0.607 0.607 0.178
0.132 0.132 0.603
0.868 0.868 0.397

---

Record 12
Zr3Fe2Si4 | the Alexandria database | GGA-PBE | relaxed; DOS(E_F) = 0.48 states/eV per atom; uncorrected formation energy = -0.760 eV per atom; total DFT energy (no corrections) = -71.1 eV for the cell shown; symmetry = No. 12
1.0
3.931 0.000 0.000
-1.965 4.966 -0.154
0.000 -2.218 7.243
Fe Zr Si
2 3 4
direct
0.688 0.375 0.363
0.312 0.625 0.637
0.000 0.000 0.000
0.375 0.750 0.307
0.625 0.250 0.693
0.092 0.184 0.404
0.285 0.570 0.923
0.715 0.430 0.077
0.908 0.816 0.596

---

Record 13
CuMo2HW | the Alexandria database | GGA-PBE | relaxed; DOS(E_F) = 0.39 states/eV per atom; total DFT energy (no corrections) = -41.1 eV for the cell shown; symmetry = No. 123
1.0
-0.483 4.072 0.498
-4.053 -0.551 0.577
0.559 -0.370 3.570
H Mo W Cu
1 2 1 1
direct
0.000 0.000 0.000
0.000 0.500 0.000
0.500 0.000 0.000
0.500 0.500 0.500
0.000 0.000 0.500

---

Record 14
ZnTeW | the Alexandria database | GGA-PBE | relaxed; DOS(E_F) = 0.53 states/eV per atom; uncorrected formation energy = 0.724 eV per atom; excess energy over the best structure of this formula in the dataset = 300 meV per atom; total DFT energy (no corrections) = -15.2 eV for the cell shown; symmetry = No. 42
1.0
-0.819 -4.527 6.053
2.171 -4.136 5.693
-1.162 1.739 2.202
Te W Zn
1 1 1
direct
0.983 0.983 0.017
0.330 0.330 0.670
0.688 0.688 0.312

---

Record 15
NpMnCrGe | the Alexandria database | GGA-PBE | relaxed; DOS(E_F) = 2.05 states/eV per atom; DFT formation energy = 95 meV per atom; total DFT energy (no corrections) = -36.0 eV for the cell shown; symmetry = No. 216
1.0
4.392 0.000 0.000
2.196 3.803 0.000
2.196 1.268 3.586
Cr Np Ge Mn
1 1 1 1
direct
0.000 0.000 0.000
0.750 0.750 0.750
0.250 0.250 0.250
0.500 0.500 0.500

---

Record 16
HgRhO2 | the Alexandria database | GGA-PBE | relaxed; DOS(E_F) = 0.74 states/eV per atom; uncorrected formation energy = -0.227 eV per atom; total DFT energy (no corrections) = -37.0 eV for the cell shown; symmetry = No. 9
1.0
10.269 0.000 0.052
2.784 4.250 -1.329
-2.784 4.250 1.329
Rh O Hg
2 4 2
direct
0.254 0.126 0.124
0.754 0.376 0.374
0.351 0.898 0.656
0.851 0.844 0.602
0.657 0.440 0.615
0.157 0.885 0.060
0.755 0.817 0.935
0.255 0.565 0.683

---

Record 17
Pm2Nd2Ho2Mg | the Alexandria database | GGA-PBE | relaxed; DOS(E_F) = 1.30 states/eV per atom; DFT formation energy = -10 meV per atom; total DFT energy (no corrections) = -29.9 eV for the cell shown; symmetry = No. 69
1.0
5.175 -0.003 0.000
-2.589 2.566 -0.313
0.000 -0.529 17.057
Mg Nd Ho Pm
1 2 2 2
direct
0.000 0.000 0.500
0.712 0.424 0.924
0.288 0.576 0.076
0.137 0.274 0.773
0.863 0.726 0.227
0.436 0.871 0.372
0.564 0.129 0.628

---

Record 18
BaTe2Au | the Alexandria database | GGA-PBE | relaxed; DOS(E_F) = 0.89 states/eV per atom; uncorrected formation energy = -0.517 eV per atom; excess energy over the best structure of this formula in the dataset = 332 meV per atom; total DFT energy (no corrections) = -13.6 eV for the cell shown; symmetry = No. 119
1.0
6.527 0.013 0.000
3.118 5.734 0.000
-4.823 -2.873 3.330
Ba Te Au
1 2 1
direct
0.750 0.250 0.500
0.000 0.000 0.000
0.250 0.750 0.500
0.500 0.500 0.000

---

Record 19
CuPPt2 | the Alexandria database | GGA-PBE | relaxed; DOS(E_F) = 0.17 states/eV per atom; excess energy over the best structure of this formula in the dataset = 76 meV per atom; DFT formation energy = -109 meV per atom; total DFT energy (no corrections) = -22.0 eV for the cell shown; symmetry = No. 166
1.0
7.192 -0.138 -0.082
6.550 2.974 -0.082
6.550 1.352 2.650
Pt Cu P
2 1 1
direct
0.008 0.008 0.008
0.492 0.492 0.492
0.250 0.250 0.250
0.750 0.750 0.750

---

Record 20
PuZn2F8 | the Alexandria database | GGA-PBE | relaxed; DOS(E_F) = 0.49 states/eV per atom; uncorrected formation energy = -2.726 eV per atom; total DFT energy (no corrections) = -61.8 eV for the cell shown; symmetry = No. 12
1.0
-5.249 -0.994 -0.449
2.602 -4.929 -1.706
1.947 -3.961 3.807
F Zn Pu
8 2 1
direct
0.727 0.104 0.104
0.273 0.896 0.896
0.267 0.395 0.949
0.245 0.451 0.451
0.755 0.549 0.549
0.267 0.949 0.395
0.733 0.051 0.605
0.733 0.605 0.051
0.503 0.655 0.655
0.497 0.345 0.345
0.000 0.000 0.000